Compound: CsTeOs
Source: the Open Quantum Materials Database
Functional: PBE
Structure: optimized geometry

CIF file:
```
data_CsTeOs
_cell_length_a 7.583
_cell_length_b 7.583
_cell_length_c 7.583
_cell_angle_alpha 90.00
_cell_angle_beta 90.00
_cell_angle_gamma 90.00
_symmetry_space_group_name_H-M 'F -4 3 m'
_symmetry_Int_Tables_number 216
_symmetry_space_group_name_Hall 'F -4 2 3'
loop_
_atom_site_label
_atom_site_type_symbol
_atom_site_fract_x
_atom_site_fract_y
_atom_site_fract_z
Cs1 Cs 0.000 0.000 0.000
Te1 Te 0.250 0.250 0.250
Os1 Os 0.000 0.000 0.500
```

Calculated values
The theoretical density is 6.9 Mg/m³. For the total energy, the calculation gives -41.8 eV per cell.